(1)
First-principles (PBE) data for a relaxed structure of KPmZnF6, as listed in the Alexandria database.

**Energy relative to the elements, uncorrected**: -306.8 kJ per mole of atoms
**Crystal system**: orthorhombic
**Electronic total energy**: -0.38355 Ry per atom
**V**: 16.26 Å³ per atom

a b c (Å): 7.7094 7.3286 7.4249
angles (deg): 119.57 121.28 90.00
With the nearest neighbours (Å) after each atom.
Fractional coordinates of all 18 atoms:
K (0.8325, 0.5825, 0.6651)  9 F 2.91-3.07
K (0.1675, 0.4175, 0.3349)  9 F 2.91-3.07
Pm (0.5000, 0.0000, 0.5000)  8 F 2.30-2.49
Pm (0.0000, 0.0000, 0.5000)  8 F 2.30-2.49
Zn (0.5000, 0.5000, 0.0000)  6 F 2.04-2.10
Zn (0.5000, 0.0000, 0.0000)  6 F 2.04-2.10
F (0.5985, 0.8485, 0.1970)  2 Zn 2.10
F (0.8709, 0.1209, 0.7419)  2 Pm 2.30
F (0.8265, 0.1586, 0.2678)  1 Zn 2.04
F (0.4412, 0.6092, 0.2678)  1 Zn 2.04
F (0.4412, 0.1586, 0.2678)  1 Zn 2.04
F (0.8265, 0.6092, 0.2678)  1 Zn 2.04
F (0.4015, 0.1515, 0.8030)  2 Zn 2.10
F (0.1291, 0.8791, 0.2581)  2 Pm 2.30
F (0.1735, 0.8414, 0.7322)  1 Zn 2.04
F (0.5588, 0.3908, 0.7322)  1 Zn 2.04
F (0.5588, 0.8414, 0.7322)  1 Zn 2.04
F (0.1735, 0.3908, 0.7322)  1 Zn 2.04



(2)
First-principles (PBE) data for a relaxed structure of K2PmZnF8, as listed in the Alexandria database.

**Energy relative to the elements, uncorrected**: -273.7 kJ per mole of atoms
**Crystal system**: triclinic
**Electronic total energy**: -0.35054 Ry per atom
**V**: 16.41 Å³ per atom

a b c (Å): 4.0075 6.2553 7.9147
angles (deg): 83.95 91.18 93.36
With the nearest neighbours (Å) after each atom.
Fractional coordinates of all 12 atoms:
K (0.5124, 0.4722, 0.7613)  8 F 2.57-2.86
K (0.4876, 0.5278, 0.2387)  8 F 2.57-2.86
Pm (0.0000, 0.0000, 0.5000)  8 F 2.30-2.46
Zn (0.0000, 0.0000, 0.0000)  4 F 1.92-1.96
F (0.0245, 0.8450, 0.2273)  1 Zn 1.96
F (0.6150, 0.8126, 0.9638)  1 Zn 1.92
F (0.9641, 0.2696, 0.2805)  1 Pm 2.30, 1 K 2.57
F (0.9755, 0.1550, 0.7727)  1 Zn 1.96
F (0.3850, 0.1874, 0.0362)  1 Zn 1.92
F (0.0359, 0.7304, 0.7195)  1 Pm 2.30, 1 K 2.57
F (0.4950, 0.7950, 0.4775)  2 Pm 2.35-2.44, 1 F 2.62
F (0.5050, 0.2050, 0.5225)  2 Pm 2.35-2.44, 1 F 2.62



(3)
First-principles (PBE) data for a relaxed structure of KPrF4, as listed in the Alexandria database.

**Energy relative to the elements, uncorrected**: -355.7 kJ per mole of atoms
**Crystal system**: tetragonal
**Electronic total energy**: -0.43463 Ry per atom
**V**: 17.26 Å³ per atom

a b c (Å): 4.0642 4.0642 6.2700
angles (deg): 90.00 90.00 90.00
With the nearest neighbours (Å) after each atom.
Fractional coordinates of all 6 atoms:
K (0.0000, 0.0000, 0.0000)  8 F 2.72
Pr (0.5000, 0.5000, 0.5000)  8 F 2.43
F (0.5000, 0.0000, 0.7118)  2 Pr 2.43, 1 F 2.66
F (0.0000, 0.5000, 0.7118)  2 Pr 2.43, 1 F 2.66
F (0.5000, 0.0000, 0.2882)  2 Pr 2.43, 1 F 2.66
F (0.0000, 0.5000, 0.2882)  2 Pr 2.43, 1 F 2.66